Record 1
An optimized crystal structure of KTlSeS2. Source: the Alexandria database, functional PBE.

Summary:
- total energy (eV/atom) = -3.399
- formation energy (no corrections) (eV/f.u.) = -1.79
- DOS at the Fermi energy (states/eV per cell) = 2.67
- size of the total moment (μB per cell) = 0.000

Lattice parameters (Å, degrees): 5.4748 7.5188 7.6127 90.68 90.00 90.00
Positions (direct):
K  0.4998  0.0000  0.2500
K  0.5002  0.0000  0.7500
Tl  0.0090  0.5000  0.7500
Tl  0.9910  0.5000  0.2500
Se  0.0000  0.0000  0.0000
Se  0.0000  0.0000  0.5000
S  0.7943  0.7010  0.9996
S  0.7943  0.2990  0.5004
S  0.2057  0.7010  0.4996
S  0.2057  0.2990  0.0004


Record 2
An optimized crystal structure of Gd2MgS4. Source: the Alexandria database, functional PBE.

Summary:
- energy above the lowest structure with this stoichiometry (meV/atom) = 0
- total energy (eV/atom) = -8.479
- formation energy (no corrections) (eV/f.u.) = -13.09
- size of the total moment (μB per cell) = 27.998

Lattice parameters (Å, degrees): 7.9674 7.9674 7.9674 60.00 60.00 60.00
Last column: magnetic moment on the atom in μB.
Positions (direct):
Gd  0.1250  0.6250  0.1250  6.93
Gd  0.1250  0.1250  0.6250  6.93
Gd  0.6250  0.1250  0.1250  6.93
Gd  0.1250  0.1250  0.1250  6.93
Mg  0.5000  0.5000  0.5000  0.00
Mg  0.7500  0.7500  0.7500  0.00
S  0.8791  0.8791  0.8791  -0.01
S  0.3628  0.8791  0.8791  -0.01
S  0.8791  0.3628  0.8791  -0.01
S  0.8791  0.8791  0.3628  -0.01
S  0.3709  0.3709  0.8872  -0.01
S  0.3709  0.8872  0.3709  -0.01
S  0.8872  0.3709  0.3709  -0.01
S  0.3709  0.3709  0.3709  -0.01


Record 3
An optimized crystal structure of PmSmTm2As4. Source: the Alexandria database, functional PBE.

Summary:
- ΔE_f (eV/f.u.) = -12.1
- total energy (eV/atom) = -6.137
- DOS at the Fermi energy (states/eV per cell) = 0.94
- size of the total moment (μB per cell) = 0.000

Lattice parameters (Å, degrees): 4.1489 7.1749 7.1826 70.51 90.00 90.00
Positions (direct):
Pm  0.0000  0.5000  0.5000
Sm  0.5000  0.5000  0.0000
Tm  0.0000  0.0000  0.0000
Tm  0.5000  0.0000  0.5000
As  0.0000  0.7599  0.7473
As  0.0000  0.2401  0.2527
As  0.5000  0.7604  0.2459
As  0.5000  0.2396  0.7541


Record 4
An optimized crystal structure of BaIO4. Source: the Alexandria database, functional PBE.

Summary:
- energy above the lowest structure with this stoichiometry (meV/atom) = 0
- total energy (eV/atom) = -5.105
- formation energy (no corrections) (eV/f.u.) = -7.32
- DOS at the Fermi energy (states/eV per cell) = 1.27
- size of the total moment (μB per cell) = 0.000

Lattice parameters (Å, degrees): 4.1586 6.1398 7.7651 90.00 105.53 90.00
Positions (direct):
Ba  0.3601  0.7500  0.7202
Ba  0.6399  0.2500  0.2798
I  0.0962  0.7500  0.1923
I  0.9038  0.2500  0.8077
O  0.1824  0.5319  0.3648
O  0.8176  0.4681  0.6352
O  0.1824  0.9681  0.3648
O  0.8176  0.0319  0.6352
O  0.5839  0.7500  0.1679
O  0.4161  0.2500  0.8321
O  0.0000  0.5000  0.0000
O  0.0000  0.0000  0.0000


Record 5
An optimized crystal structure of TaAg2IF. Source: the Alexandria database, functional PBE.

Summary:
- total energy (eV/atom) = -3.544
- formation energy (no corrections) (eV/f.u.) = 3.25
- DOS at the Fermi energy (states/eV per cell) = 4.19
- size of the total moment (μB per cell) = 3.223

Lattice parameters (Å, degrees): 4.4135 5.7533 4.4135 90.00 90.00 90.00
Last column: magnetic moment on the atom in μB.
Positions (direct):
I  0.0000  0.5000  0.0000  0.02
F  0.0000  0.0000  0.0000  0.04
Ag  0.0000  0.0000  0.5000  0.04
Ag  0.5000  0.0000  0.0000  0.06
Ta  0.5000  0.5000  0.5000  1.96


Record 6
An optimized crystal structure of Pr3Sm7Y2. Source: the Alexandria database, functional PBE.

Summary:
- energy above the lowest structure with this stoichiometry (meV/atom) = 9
- ΔE_f (eV/f.u.) = 1.0
- total energy (eV/atom) = -4.939
- DOS at the Fermi energy (states/eV per cell) = 16.35
- size of the total moment (μB per cell) = 0.000

Lattice parameters (Å, degrees): 3.6258 5.9558 19.2186 93.01 90.00 90.00
Positions (direct):
Pr  0.5000  0.5000  0.0000
Pr  0.0000  0.2211  0.3668
Pr  0.0000  0.7789  0.6332
Sm  0.5000  0.7434  0.4639
Sm  0.5000  0.2566  0.5361
Sm  0.0000  0.6890  0.1442
Sm  0.0000  0.0000  0.0000
Sm  0.0000  0.3110  0.8558
Sm  0.5000  0.8092  0.8212
Sm  0.5000  0.1908  0.1788
Y  0.5000  0.7116  0.2942
Y  0.5000  0.2884  0.7058


Record 7
An optimized crystal structure of CdP2W. Source: the Alexandria database, functional PBE.

Summary:
- energy above the lowest structure with this stoichiometry (meV/atom) = 102
- ΔE_f (eV/f.u.) = 0.3
- total energy (eV/atom) = -6.094
- DOS at the Fermi energy (states/eV per cell) = 2.08
- size of the total moment (μB per cell) = 0.000

Lattice parameters (Å, degrees): 6.9245 6.9245 6.9245 153.62 151.13 39.51
Positions (direct):
Cd  0.3034  0.8034  0.5000
P  0.9722  0.9722  0.0000
P  0.6823  0.1823  0.5000
W  0.5421  0.5421  0.0000


Record 8
An optimized crystal structure of Re2SbMo. Source: the Alexandria database, functional PBE.

Summary:
- total energy (eV/atom) = -9.557
- formation energy (no corrections) (eV/f.u.) = 1.62
- DOS at the Fermi energy (states/eV per cell) = 2.83
- size of the total moment (μB per cell) = 0.000

Lattice parameters (Å, degrees): 4.1276 2.9836 6.1790 61.19 90.00 90.00
Positions (direct):
Mo  0.5000  0.7424  0.7586
Re  0.0000  0.9856  0.0140
Re  0.5000  0.2774  0.2214
Sb  0.0000  0.4946  0.5060


Record 9
An optimized crystal structure of TaP2O2. Source: the Alexandria database, functional PBE.

Summary:
- energy above the lowest structure with this stoichiometry (meV/atom) = 861
- total energy (eV/atom) = -6.726
- formation energy (no corrections) (eV/f.u.) = -1.04
- DOS at the Fermi energy (states/eV per cell) = 4.12
- size of the total moment (μB per cell) = 1.119

Lattice parameters (Å, degrees): 3.6220 3.6220 4.7023 90.00 90.00 90.00
Last column: magnetic moment on the atom in μB.
Positions (direct):
P  0.0000  0.0000  0.0000  0.02
P  0.0000  0.0000  0.5000  -0.02
O  0.0000  0.5000  0.0000  0.01
O  0.5000  0.0000  0.0000  0.01
Ta  0.5000  0.5000  0.5000  0.80


Record 10
An optimized crystal structure of K3SiMo. Source: the Alexandria database, functional PBE.

Summary:
- energy above the lowest structure with this stoichiometry (meV/atom) = 0
- total energy (eV/atom) = -2.590
- formation energy (no corrections) (eV/f.u.) = 6.59
- DOS at the Fermi energy (states/eV per cell) = 2.61
- size of the total moment (μB per cell) = 7.000

Lattice parameters (Å, degrees): 6.4514 6.4514 6.4514 90.00 90.00 90.00
Last column: magnetic moment on the atom in μB.
Positions (direct):
Mo  0.5000  0.5000  0.5000  4.06
Si  0.0000  0.0000  0.0000  0.42
K  0.0000  0.5000  0.0000  0.02
K  0.0000  0.0000  0.5000  0.03
K  0.5000  0.0000  0.0000  0.02


Record 11
An optimized crystal structure of MoW2Br. Source: the Alexandria database, functional PBE.

Summary:
- energy above the lowest structure with this stoichiometry (meV/atom) = 806
- total energy (eV/atom) = -8.264
- formation energy (no corrections) (eV/f.u.) = 5.35
- DOS at the Fermi energy (states/eV per cell) = 4.13
- size of the total moment (μB per cell) = 0.002

Lattice parameters (Å, degrees): 4.7225 3.7873 3.7873 90.00 90.00 90.00
Positions (direct):
Mo  0.5000  0.0000  0.5000
Br  0.5000  0.5000  0.0000
W  0.0000  0.0000  0.0000
W  0.0000  0.5000  0.5000


Among the records above, which one has the lowest total energy?
Re2SbMo


Among the records above, which one has the highest size of the total moment?
Gd2MgS4


Please write out number 2 again, unchanged.
An optimized crystal structure of Gd2MgS4. Source: the Alexandria database, functional PBE.

Summary:
- energy above the lowest structure with this stoichiometry (meV/atom) = 0
- total energy (eV/atom) = -8.479
- formation energy (no corrections) (eV/f.u.) = -13.09
- size of the total moment (μB per cell) = 27.998

Lattice parameters (Å, degrees): 7.9674 7.9674 7.9674 60.00 60.00 60.00
Last column: magnetic moment on the atom in μB.
Positions (direct):
Gd  0.1250  0.6250  0.1250  6.93
Gd  0.1250  0.1250  0.6250  6.93
Gd  0.6250  0.1250  0.1250  6.93
Gd  0.1250  0.1250  0.1250  6.93
Mg  0.5000  0.5000  0.5000  0.00
Mg  0.7500  0.7500  0.7500  0.00
S  0.8791  0.8791  0.8791  -0.01
S  0.3628  0.8791  0.8791  -0.01
S  0.8791  0.3628  0.8791  -0.01
S  0.8791  0.8791  0.3628  -0.01
S  0.3709  0.3709  0.8872  -0.01
S  0.3709  0.8872  0.3709  -0.01
S  0.8872  0.3709  0.3709  -0.01
S  0.3709  0.3709  0.3709  -0.01


size of the total moment of number 7 (CdP2W)?
0.000 μB per cell